1.
Here is SrMo2Pb after structural relaxation from Alexandria via LeMat-Bulk. Energies are from GGA-PBE.

Cell: 3.643 4.882 9.981 Å, 90.00 90.00 90.00°
Space group Immm (No. 71)
One atom of each set of equivalent atoms:
Sr 0.000 0.000 0.000 x2
Mo 0.000 0.500 0.240 x4
Pb 0.000 0.000 0.500 x2

## Properties
Energy relative to the elements ... 1.05 eV per atom
Electronic total energy ... -45.671 eV/cell

2.
Here is ZnAs8 after structural relaxation from Alexandria via LeMat-Bulk. Energies are from GGA-PBE.

Cell: 10.132 10.132 3.728 Å, 90.00 90.00 90.00°
Space group I4/mmm (No. 139)
One atom of each set of equivalent atoms:
Zn 0.000 0.000 0.000 x2
As 0.000 0.357 0.000 x8
As 0.131 0.131 0.500 x8

## Properties
Energy relative to the elements ... 0.36 eV per atom
Electronic total energy ... -70.446 eV/cell

3.
Here is AcAl3Ni after structural relaxation from Alexandria via LeMat-Bulk. Energies are from GGA-PBE.

Cell: 4.718 4.718 4.718 Å, 90.00 90.00 90.00°
Space group Pm-3m (No. 221)
One atom of each set of equivalent atoms:
Ac 0.000 0.000 0.000 x1
Al 0.000 0.500 0.500 x3
Ni 0.500 0.500 0.500 x1

## Properties
Energy relative to the elements ... -0.30 eV per atom
Excess energy over the best structure of this formula in the dataset ... 0.1670 eV per atom
Electronic total energy ... -22.603 eV/cell